# CaTh3Sn12 (PBE-GGA, relaxed)
data_CaTh3Sn12
_symmetry_space_group_name_H-M 'P 1'
_symmetry_Int_Tables_number 1
_cell_length_a 4.782
_cell_length_b 4.782
_cell_length_c 18.803
_cell_angle_alpha 90.00
_cell_angle_beta 90.00
_cell_angle_gamma 90.00
loop_
_symmetry_equiv_pos_as_xyz
'x,y,z'
loop_
_atom_site_label
_atom_site_type_symbol
_atom_site_fract_x
_atom_site_fract_y
_atom_site_fract_z
Sn1 Sn 0.500 0.000 0.625
Sn2 Sn 0.500 0.000 0.375
Sn3 Sn 0.000 0.500 0.625
Sn4 Sn 0.500 0.500 0.249
Sn5 Sn 0.500 0.000 0.124
Sn6 Sn 0.500 0.000 0.876
Sn7 Sn 0.000 0.500 0.124
Sn8 Sn 0.000 0.500 0.876
Sn9 Sn 0.500 0.500 0.751
Sn10 Sn 0.000 0.500 0.375
Sn11 Sn 0.500 0.500 0.500
Sn12 Sn 0.500 0.500 0.000
Th1 Th 0.000 0.000 0.500
Th2 Th 0.000 0.000 0.748
Th3 Th 0.000 0.000 0.252
Ca1 Ca 0.000 0.000 0.000
# **Final energy**: -4.952 eV per atom
# **D(E_F)**: 7.340 states/eV per cell
# **Density**: 8344 kg/m3